(1)
Compound: SiAgSn
Source: Alexandria via LeMat-Bulk
Functional: GGA-PBE
Structure: optimized geometry

Results
D(E_F) in states/eV per cell: 2.41
Uncorrected formation energy in eV per atom: 0.22

Lattice parameters (Å, degrees): 8.488 4.059 8.460 90.00 113.69 90.00
Space group C2/m (No. 12)
One atom of each set of equivalent atoms:
Si 0.118 0.000 0.140 [4 per cell]
Ag 0.183 0.000 0.844 [4 per cell]
Sn 0.106 0.500 0.370 [4 per cell]

(2)
Compound: SiAgSn2
Source: Alexandria via LeMat-Bulk
Functional: GGA-PBE
Structure: optimized geometry

Results
D(E_F) in states/eV per cell: 5.01
Uncorrected formation energy in eV per atom: 0.36

Lattice parameters (Å, degrees): 3.5083 3.5083 27.8596 90.00 90.00 120.00
Space group R-3m (No. 166, hexagonal axes)
One atom of each set of equivalent atoms:
Si 0.0000 0.0000 0.0000 [3 per cell]
Ag 0.0000 0.0000 0.5000 [3 per cell]
Sn 0.0000 0.0000 0.4025 [6 per cell]

(3)
Compound: SiAgSn2
Source: Alexandria via LeMat-Bulk
Functional: GGA-PBE
Structure: optimized geometry

Results
D(E_F) in states/eV per cell: 9.18
Uncorrected formation energy in eV per atom: 0.33

Lattice parameters (Å, degrees): 6.466 6.466 11.294 90.00 90.00 90.00
Space group I-42d (No. 122)
One atom of each set of equivalent atoms:
Si 0.000 0.000 0.000 [4 per cell]
Ag 0.000 0.000 0.500 [4 per cell]
Sn 0.233 0.250 0.125 [8 per cell]

(4)
Compound: Si2Ag2Sn
Source: Alexandria via LeMat-Bulk
Functional: GGA-PBE
Structure: optimized geometry

Results
D(E_F) in states/eV per cell: 3.65
Relative energy among the computed polymorphs in kcal/mol of atoms: 0.00
Uncorrected formation energy in eV per atom: 0.24

Lattice parameters (Å, degrees): 4.210 4.210 11.078 90.00 90.00 90.00
Space group I4/mmm (No. 139)
One atom of each set of equivalent atoms:
Si 0.000 0.000 0.105 [4 per cell]
Ag 0.000 0.500 0.250 [4 per cell]
Sn 0.000 0.000 0.500 [2 per cell]

(5)
Compound: Si2Ag2Sn
Source: Alexandria via LeMat-Bulk
Functional: GGA-PBE
Structure: optimized geometry

Results
D(E_F) in states/eV per cell: 3.55
Relative energy among the computed polymorphs in kcal/mol of atoms: 0.79
Uncorrected formation energy in eV per atom: 0.27

Lattice parameters (Å, degrees): 3.458 3.458 16.500 90.00 90.00 90.00
Space group I4/mmm (No. 139)
One atom of each set of equivalent atoms:
Si 0.000 0.500 0.250 [4 per cell]
Ag 0.000 0.000 0.113 [4 per cell]
Sn 0.000 0.000 0.500 [2 per cell]

(6)
Compound: Si2AgSn2
Source: Alexandria via LeMat-Bulk
Functional: GGA-PBE
Structure: optimized geometry

Results
D(E_F) in states/eV per cell: 4.11
Relative energy among the computed polymorphs in kcal/mol of atoms: 1.34
Uncorrected formation energy in eV per atom: 0.29

Lattice parameters (Å, degrees): 6.805 6.805 4.632 90.00 90.00 90.00
Space group P4/mbm (No. 127)
One atom of each set of equivalent atoms:
Si 0.125 0.375 0.000 [4 per cell]
Ag 0.000 0.000 0.000 [2 per cell]
Sn 0.192 0.692 0.500 [4 per cell]

(7)
Compound: Si3AgSn
Source: Alexandria via LeMat-Bulk
Functional: GGA-PBE
Structure: optimized geometry

Results
D(E_F) in states/eV per cell: 2.65
Relative energy among the computed polymorphs in kcal/mol of atoms: 0.00
Uncorrected formation energy in eV per atom: 0.97

Lattice parameters (Å, degrees): 4.879 4.879 4.879 90.00 90.00 90.00
Space group Pm-3m (No. 221)
One atom of each set of equivalent atoms:
Si 0.000 0.000 0.500 [3 per cell]
Ag 0.000 0.000 0.000 [1 per cell]
Sn 0.500 0.500 0.500 [1 per cell]

(8)
Compound: SiAgSn3
Source: Alexandria via LeMat-Bulk
Functional: GGA-PBE
Structure: optimized geometry

Results
D(E_F) in states/eV per cell: 2.88
Relative energy among the computed polymorphs in kcal/mol of atoms: 0.00
Uncorrected formation energy in eV per atom: 0.58

Lattice parameters (Å, degrees): 5.193 5.193 5.193 90.00 90.00 90.00
Space group Pm-3m (No. 221)
One atom of each set of equivalent atoms:
Si 0.000 0.000 0.000 [1 per cell]
Ag 0.500 0.500 0.500 [1 per cell]
Sn 0.000 0.000 0.500 [3 per cell]

(9)
Compound: Si2AgSn2
Source: Alexandria via LeMat-Bulk
Functional: GGA-PBE
Structure: optimized geometry

Results
D(E_F) in states/eV per cell: 4.06
Relative energy among the computed polymorphs in kcal/mol of atoms: 0.00
Uncorrected formation energy in eV per atom: 0.23

Lattice parameters (Å, degrees): 3.470 3.470 17.701 90.00 90.00 90.00
Space group I4/mmm (No. 139)
One atom of each set of equivalent atoms:
Si 0.000 0.500 0.250 [4 per cell]
Ag 0.000 0.000 0.000 [2 per cell]
Sn 0.000 0.000 0.395 [4 per cell]

(10)
Compound: SiAg3Sn
Source: Alexandria via LeMat-Bulk
Functional: GGA-PBE
Structure: optimized geometry

Results
D(E_F) in states/eV per cell: 1.76
Relative energy among the computed polymorphs in kcal/mol of atoms: 0.00
Uncorrected formation energy in eV per atom: 0.36

Lattice parameters (Å, degrees): 4.845 4.845 4.845 90.00 90.00 90.00
Space group Pm-3m (No. 221)
One atom of each set of equivalent atoms:
Si 0.000 0.000 0.000 [1 per cell]
Ag 0.000 0.000 0.500 [3 per cell]
Sn 0.500 0.500 0.500 [1 per cell]

(11)
Compound: Si2AgSnTe6
Source: Alexandria via LeMat-Bulk
Functional: GGA-PBE
Structure: optimized geometry

Results
D(E_F) in states/eV per cell: 18.99
Uncorrected formation energy in eV per atom: -0.02

Lattice parameters (Å, degrees): 14.196 13.267 7.282 90.00 106.62 90.00
Space group C2/c (No. 15)
One atom of each set of equivalent atoms:
Si 0.200 0.073 0.248 [8 per cell]
Ag 0.000 0.224 0.750 [4 per cell]
Sn 0.000 0.376 0.250 [4 per cell]
Te 0.114 0.426 0.675 [8 per cell]
Te 0.129 0.078 0.533 [8 per cell]
Te 0.144 0.244 0.092 [8 per cell]

(12)
Compound: SiAg2SnTe4
Source: Alexandria via LeMat-Bulk
Functional: GGA-PBE
Structure: optimized geometry

Results
Uncorrected formation energy in eV per atom: -0.09

Lattice parameters (Å, degrees): 8.644 10.171 11.967 90.00 90.00 90.00
Space group Fmm2 (No. 42)
One atom of each set of equivalent atoms:
Si 0.000 0.000 0.000 [4 per cell]
Ag 0.250 0.250 0.260 [8 per cell]
Sn 0.000 0.000 0.537 [4 per cell]
Te 0.000 0.211 0.111 [8 per cell]
Te 0.237 0.000 0.867 [8 per cell]

Number 1: M_tot 0.0 μB/cell. Number 2: M_tot 0.0 μB/cell. Number 3: M_tot 0.0 μB/cell. Number 4: M_tot 0.0 μB/cell. Number 5: M_tot 0.0 μB/cell. Number 6: M_tot 0.0 μB/cell. Number 7: M_tot 0.0 μB/cell. Number 8: M_tot 0.0 μB/cell. Number 9: M_tot 0.0 μB/cell. Number 10: M_tot 0.0 μB/cell. Number 11: M_tot 0.0 μB/cell. Number 12: M_tot 0.0 μB/cell.